Entry 1:
An optimized crystal structure of Er3PaCl. Source: the Open Quantum Materials Database, functional PBE.

SG: No. 221

Lattice parameters (Å, degrees): 5.1686 5.1686 5.1686 90.00 90.00 90.00
Closest atoms and distances in Å follow each position.
Fractional positions:
Er 0.0000 0.0000 0.5000  2 Cl 2.58
Er 0.0000 0.5000 0.0000  2 Cl 2.58
Pa 0.5000 0.5000 0.5000  12 Er 3.65
Cl 0.0000 0.0000 0.0000  6 Er 2.58
Er 0.5000 0.0000 0.0000  2 Cl 2.58

Entry 2:
An optimized crystal structure of SmHfPt. Source: the Open Quantum Materials Database, functional PBE.

Offset from the most stable computed form in eV/atom: 0.000
Formation enthalpy at 0 K in eV/f.u.: -2.6
SG: No. 129

Lattice parameters (Å, degrees): 4.6403 4.6403 6.8013 90.00 90.00 90.00
Closest atoms and distances in Å follow each position.
Fractional positions:
Pt 0.5000 0.0000 0.7007  4 Hf 2.69, 1 Sm 2.89
Hf 0.5000 0.5000 0.5000  4 Pt 2.69
Sm 0.5000 0.0000 0.1249  1 Pt 2.89
Pt 0.0000 0.5000 0.2993  4 Hf 2.69, 1 Sm 2.89
Sm 0.0000 0.5000 0.8751  1 Pt 2.89
Hf 0.0000 0.0000 0.5000  4 Pt 2.69

Entry 3:
An optimized crystal structure of Cs2Sb2Mo. Source: the Open Quantum Materials Database, functional PBE.

SG: No. 63

Lattice parameters (Å, degrees): 9.6729 9.6729 5.6524 90.00 90.00 131.54
Closest atoms and distances in Å follow each position.
Fractional positions:
Cs 0.5833 0.4167 0.2500  6 Sb 3.79-4.19, 2 Cs 4.08
Cs 0.2218 0.7782 0.2500  6 Sb 3.77-3.91, 2 Mo 4.16
Sb 0.0781 0.2936 0.2500  2 Mo 2.79, 1 Sb 2.95
Sb 0.9219 0.7064 0.7500  2 Mo 2.79, 1 Sb 2.95
Mo 0.0000 0.0000 0.5000  4 Sb 2.79, 2 Mo 2.83
Sb 0.2936 0.0781 0.7500  2 Mo 2.79, 1 Sb 2.95
Sb 0.7064 0.9219 0.2500  2 Mo 2.79, 1 Sb 2.95
Cs 0.7782 0.2218 0.7500  6 Sb 3.77-3.91, 2 Mo 4.16
Cs 0.4167 0.5833 0.7500  6 Sb 3.79-4.19, 2 Cs 4.08
Mo 0.0000 0.0000 0.0000  4 Sb 2.79, 2 Mo 2.83

Entry 4:
An optimized crystal structure of MgCoSiHg. Source: the Open Quantum Materials Database, functional PBE.

Offset from the most stable computed form in eV/atom: 0.000
SG: No. 216

Lattice parameters (Å, degrees): 4.4636 4.4636 4.4636 60.00 60.00 60.00
Closest atoms and distances in Å follow each position.
Fractional positions:
Mg 0.2500 0.2500 0.2500  4 Si 2.73, 4 Hg 2.73
Hg 0.5000 0.5000 0.5000  4 Co 2.73, 4 Mg 2.73
Co 0.7500 0.7500 0.7500  4 Si 2.73, 4 Hg 2.73
Si 0.0000 0.0000 0.0000  4 Mg 2.73, 4 Co 2.73

Entry 5:
An optimized crystal structure of NbIn3Se2S2. Source: the Open Quantum Materials Database, functional PBE.

SG: No. 42

Lattice parameters (Å, degrees): 6.7884 6.6578 7.7521 55.59 54.01 70.41
Closest atoms and distances in Å follow each position.
Fractional positions:
Se 0.0000 0.3623 0.6377  1 Nb 2.43
Se 0.3623 0.0000 0.0000  1 Nb 2.43
In 0.5168 0.5169 0.4832  2 S 3.07, 2 Se 3.30
In 0.4747 0.4747 0.0253  2 S 3.11, 2 Se 3.23
S 0.0033 0.6622 0.9967  1 Nb 2.28
In 0.9747 0.9747 0.5253  2 S 3.11, 2 Se 3.23
S 0.6622 0.0033 0.3378  1 Nb 2.28
Nb 0.0060 0.0060 0.9940  2 S 2.28, 2 Se 2.43

Entry 6:
An optimized crystal structure of Tb2ScCu4Ge4. Source: the Open Quantum Materials Database, functional PBE.

SG: No. 71

Lattice parameters (Å, degrees): 7.9290 7.9290 7.9290 149.35 131.35 58.60
Closest atoms and distances in Å follow each position.
Fractional positions:
Cu 0.9796 0.6707 0.3088  4 Ge 2.46-2.58, 1 Cu 2.50
Cu 0.6381 0.3293 0.3088  4 Ge 2.46-2.58, 1 Cu 2.50
Ge 0.7865 0.7865 0.0000  6 Cu 2.51-2.58
Sc 0.0000 0.0000 0.0000  6 Ge 2.86-2.95
Cu 0.0204 0.3293 0.6912  4 Ge 2.46-2.58, 1 Cu 2.50
Ge 0.7009 0.5000 0.2009  2 Cu 2.46, 1 Ge 2.63
Ge 0.2135 0.2135 0.0000  6 Cu 2.51-2.58
Cu 0.3619 0.6707 0.6912  4 Ge 2.46-2.58, 1 Cu 2.50
Tb 0.3710 0.8710 0.5000  6 Cu 2.97-3.04, 6 Ge 3.02-3.05
Tb 0.6290 0.1290 0.5000  6 Cu 2.97-3.04, 6 Ge 3.02-3.05
Ge 0.2991 0.5000 0.7991  2 Cu 2.46, 1 Ge 2.63

Entry 7:
An optimized crystal structure of NdInCo. Source: the Open Quantum Materials Database, functional PBE.

SG: No. 216

Lattice parameters (Å, degrees): 4.6861 4.6861 4.6861 60.00 60.00 60.00
Closest atoms and distances in Å follow each position.
Fractional positions:
Co 0.2500 0.2500 0.2500  4 Nd 2.87
Nd 0.0000 0.0000 0.0000  4 In 2.87, 4 Co 2.87
In 0.7500 0.7500 0.7500  4 Nd 2.87

Entry 8:
An optimized crystal structure of Hf3Sc2Zn2. Source: the Open Quantum Materials Database, functional PBE.

Formation enthalpy at 0 K in eV/f.u.: -0.9
SG: No. 160

Lattice parameters (Å, degrees): 7.5998 7.5998 7.5998 37.01 37.01 37.01
Closest atoms and distances in Å follow each position.
Fractional positions:
Sc 0.7659 0.7659 0.7659  6 Zn 2.89-2.92
Hf 0.3397 0.3397 0.3397  4 Zn 2.85-3.03, 1 Sc 3.05, 3 Hf 3.12
Hf 0.9309 0.9309 0.9309  1 Zn 2.79, 3 Hf 2.79
Zn 0.4738 0.4738 0.4738  2 Hf 2.82-2.85, 6 Sc 2.92-3.02
Hf 0.6067 0.6067 0.6067  6 Hf 2.79-3.12, 1 Zn 2.82
Zn 0.0623 0.0623 0.0623  4 Hf 2.79-3.03, 4 Sc 2.83-2.89
Sc 0.1957 0.1957 0.1957  4 Zn 2.83-3.02, 4 Hf 3.05-3.14

For reference, E_tot by record: -25.63, -46.57, -41.60, -13.43, -37.61, -55.57, -12.40, -45.97 eV for the cell shown.